Entry 1:
5
Lattice="-5.656 3.574 -0.983 -3.494 -5.739 -0.762 -1.237 -0.130 6.647" Properties=species:S:1:pos:R:3 comment="K3LiCr PBE optimized geometry" dos_at_fermi_per_ev_cell=3.92 formation_energy_mev_per_atom=708 pbc="T T T"
K -1.747 -2.870 -0.381
Li -5.194 -1.147 2.451
K -2.828 1.787 -0.491
K -0.619 -0.065 3.323
Cr 0.000 0.000 0.000

=====

Entry 2:
18
Lattice="-3.041 4.855 -1.172 -6.613 1.385 9.563 1.655 6.562 9.555" Properties=species:S:1:pos:R:3 comment="Tb2Sm6Cd PBE optimized geometry" dos_at_fermi_per_ev_cell=20.63 formation_energy_mev_per_atom=63 pbc="T T T"
Sm -3.126 6.504 6.016
Sm -8.140 7.664 11.034
Tb -4.443 4.913 3.374
Sm -2.956 3.230 6.603
Sm -5.519 1.846 8.465
Sm -1.803 8.252 11.615
Cd -2.666 5.546 9.265
Sm -2.480 10.956 9.480
Sm -6.195 4.550 6.330
Tb -0.954 3.718 3.958
Sm -7.239 4.596 10.072
Tb -3.555 7.890 14.571
Sm 0.142 5.138 6.911
Sm -0.759 8.206 7.873
Cd -5.332 7.257 8.680
Sm -5.042 9.572 11.342
Tb -7.045 9.084 13.987
Sm -4.872 6.298 11.929

=====

Entry 3:
20
Lattice="-4.309 -1.819 6.259 7.613 -3.583 4.200 0.269 8.976 2.793" Properties=species:S:1:pos:R:3 comment="Ac3PSe6 PBE optimized geometry" formation_energy_uncorrected_ev_per_atom=-1.5002 dos_at_fermi_per_ev_cell=0.00 pbc="T T T"
Ac 5.122 2.255 8.757
Se 0.116 4.592 3.221
Ac 1.481 3.887 11.601
Se 1.980 1.255 3.607
Ac 1.372 3.269 5.950
Se 5.492 -1.124 4.695
Se 4.376 -4.368 8.454
Se 4.506 2.984 5.848
Se 1.556 -2.464 7.039
P 1.372 6.533 3.434
Ac 0.772 -0.298 9.378
Se 2.087 2.527 8.927
Ac 0.204 -1.110 4.393
Ac -3.437 0.523 7.238
P 3.833 -2.270 7.448
Se 4.015 -0.782 9.221
Se -0.268 8.168 4.022
Se 2.575 6.274 5.402
Se -0.439 0.799 6.686
Se -0.860 5.144 7.020

=====

Entry 4:
3
Lattice="-0.327 -1.321 3.386 -1.040 -4.488 -1.852 4.707 1.265 0.948" Properties=species:S:1:pos:R:3 comment="PmAgPb PBE optimized geometry" dos_at_fermi_per_ev_cell=2.08 formation_energy_mev_per_atom=-380 pbc="T T T"
Ag -0.054 -0.218 0.560
Pm 2.573 -1.534 2.272
Pb 0.821 -2.793 -0.349

=====

Entry 5:
5
Lattice="-2.407 4.281 -3.153 -6.551 -2.776 1.232 -0.481 3.271 4.809" Properties=species:S:1:pos:R:3 comment="CsY2CdIn PBE optimized geometry" dos_at_fermi_per_ev_cell=3.91 formation_energy_mev_per_atom=508 pbc="T T T"
In 0.000 0.000 0.000
Y -1.204 2.141 -1.576
Cd -4.719 2.388 1.445
Cs -3.275 -1.388 0.616
Y -0.241 1.636 2.405

=====

Entry 6:
6
Lattice="0.000 3.624 3.624 3.624 0.000 3.624 3.624 3.624 0.000" Properties=species:S:1:pos:R:3 comment="BeHgRu4 PBE optimized geometry" dos_at_fermi_per_ev_cell=7.31 formation_energy_mev_per_atom=764 pbc="T T T"
Be 1.812 1.812 1.812
Ru 4.527 2.720 2.720
Ru 2.720 2.720 4.527
Hg 0.000 0.000 0.000
Ru 2.720 4.527 2.720
Ru 4.527 4.527 4.527

=====

Entry 7:
15
Lattice="-2.432 3.131 4.514 -4.185 -4.310 -0.013 3.896 -3.011 3.441" Properties=species:S:1:pos:R:3 comment="Hf8SnH6 PBE optimized geometry" dft_energy_ev_per_atom=-7.1612 dos_at_fermi_per_ev_cell=10.84 pbc="T T T"
H -2.518 -3.813 3.735
H -2.525 -0.933 5.253
Hf -1.831 -2.820 5.345
H -0.196 -3.257 2.689
Hf -0.889 -1.370 2.597
Hf -3.296 0.203 3.794
H -0.202 -0.377 4.206
Sn 0.000 0.000 0.000
Hf -4.211 -2.821 3.338
Hf 0.575 -4.393 4.148
Hf 1.491 -1.369 4.604
Hf -0.979 0.105 5.989
Hf -1.741 -4.295 1.953
H -2.897 -1.440 2.722
H 0.176 -2.750 5.220

=====

Entry 8:
18
Lattice="-6.321 -2.388 0.188 2.283 -6.167 -1.563 2.647 3.065 6.387" Properties=species:S:1:pos:R:3 comment="AcCe2OsN5 PBE optimized geometry" formation_energy_uncorrected_ev_per_atom=-0.9762 dos_at_fermi_per_ev_cell=13.93 pbc="T T T"
Ce -3.626 -6.154 -0.910
Ac 0.314 -0.606 2.850
N -2.125 -0.848 4.431
N 3.037 -0.913 3.848
Ce -0.148 -5.816 -1.221
N 0.734 -4.642 0.581
N 0.548 1.661 4.670
N -1.939 -7.151 0.342
N -2.019 -4.277 -0.688
N 0.000 0.000 0.000
N 0.364 -3.422 3.609
Ac -1.705 -4.884 2.162
Os 1.455 -3.690 2.068
Ce -0.412 -2.401 -0.465
N -1.755 -2.068 1.403
N -4.428 -4.576 1.164
Os -2.846 -1.800 2.944
Ce -3.889 -2.738 -0.154

=====

Copy entry 3 word for word.
20
Lattice="-4.309 -1.819 6.259 7.613 -3.583 4.200 0.269 8.976 2.793" Properties=species:S:1:pos:R:3 comment="Ac3PSe6 PBE optimized geometry" formation_energy_uncorrected_ev_per_atom=-1.5002 dos_at_fermi_per_ev_cell=0.00 pbc="T T T"
Ac 5.122 2.255 8.757
Se 0.116 4.592 3.221
Ac 1.481 3.887 11.601
Se 1.980 1.255 3.607
Ac 1.372 3.269 5.950
Se 5.492 -1.124 4.695
Se 4.376 -4.368 8.454
Se 4.506 2.984 5.848
Se 1.556 -2.464 7.039
P 1.372 6.533 3.434
Ac 0.772 -0.298 9.378
Se 2.087 2.527 8.927
Ac 0.204 -1.110 4.393
Ac -3.437 0.523 7.238
P 3.833 -2.270 7.448
Se 4.015 -0.782 9.221
Se -0.268 8.168 4.022
Se 2.575 6.274 5.402
Se -0.439 0.799 6.686
Se -0.860 5.144 7.020